Material: Na2Mn2RuO6
Method: DFT, GGA+U
State: relaxed

V, Å³/atom: 12.2
DOS(E_F), states/eV per cell: 0.52
Energy, eV/cell: -144.83
Total magnetization, μB per formula unit: 6.0

Cell: 5.183 9.396 5.733 Å, 90.00 105.90 90.00°
Space group C2/m (No. 12)
Asymmetric unit:
1 Na 0.000 0.166 0.000
2 Mn 0.000 0.337 0.500
3 Ru 0.000 0.000 0.500
4 O 0.231 0.166 0.688
5 O 0.247 0.500 0.700